VASP calculation (PBE with a Hubbard U) on a geometry-optimized MnBrO3 structure.

Output
DOS(E_F) (states/eV per atom): 0.1720
Volume (Å³ per cell): 63
Total energy (Ha/atom): -0.170

a b c (Å): 3.985 3.985 3.985
angles (deg): 90.00 90.00 90.00
Element x y z (fractional)
Mn: 0.500 0.500 0.500
O: 0.000 0.000 0.500
O: 0.500 0.000 0.000
O: 0.000 0.500 0.000
Br: 0.000 0.000 0.000